(1)
PBE-GGA HoErMgCd, relaxed; formation energy from the elements = -0.19 eV/atom; final energy = -3.11 eV/atom; space group = No. 216
1.0
-4.535 -1.674 2.143
-0.795 -5.165 0.806
-0.044 -1.931 4.922
Mg Ho Er Cd
1 1 1 1
Direct
0.250 0.250 0.250
0.500 0.500 0.500
0.000 0.000 0.000
0.750 0.750 0.750

=====

(2)
PBE-GGA RbIn4I5, relaxed; formation energy without anion corrections = -659 meV/atom; final energy = -2.63 eV/atom; space group = No. 79
1.0
0.661 -4.432 5.513
-4.650 -7.329 -0.756
6.490 -5.754 -0.827
I In Rb
5 4 1
Direct
0.311 0.791 0.589
0.690 0.209 0.411
0.501 0.000 0.000
0.899 0.411 0.791
0.102 0.589 0.209
0.397 0.404 0.804
0.605 0.596 0.196
0.801 0.804 0.596
0.201 0.196 0.404
0.002 0.000 0.000

=====

(3)
PBE-GGA ZnCoRh, relaxed; formation energy from the elements = 0.06 eV/atom; final energy = -5.19 eV/atom; space group = No. 42
1.0
-2.638 6.283 0.059
-3.657 5.070 -2.051
-1.528 0.142 2.146
Zn Rh Co
1 1 1
Direct
0.336 0.336 0.664
0.664 0.664 0.336
0.000 0.000 0.000

=====

(4)
PBE-GGA SnIrPtI, relaxed; formation energy without anion corrections = 287 meV/atom; final energy = -4.83 eV/atom; space group = No. 1
1.0
4.380 0.007 -0.007
-1.110 4.358 0.008
-1.193 -0.336 4.670
Sn I Pt Ir
1 1 1 1
Direct
0.373 0.594 0.181
0.854 0.984 0.773
0.409 0.316 0.680
0.786 0.213 0.257

=====

(5)
PBE-GGA UBPbO6, relaxed; formation energy without anion corrections = -2082 meV/atom; final energy = -7.80 eV/atom; space group = No. 1
1.0
6.067 0.295 -0.965
3.295 5.692 -1.849
-0.805 -1.413 5.964
O B U Pb
6 1 1 1
Direct
0.110 0.238 0.262
0.105 0.649 0.733
0.423 0.574 0.381
0.646 0.040 0.236
0.430 0.002 0.621
0.643 0.319 0.768
0.426 0.788 0.501
0.377 0.311 0.500
0.840 0.078 0.999

=====

(6)
PBE-GGA ZrIrCl, relaxed; formation energy without anion corrections = -1044 meV/atom; final energy = -7.46 eV/atom; space group = No. 59
1.0
3.790 0.000 0.000
0.000 11.538 0.000
0.000 0.000 3.152
Cl Ir Zr
2 2 2
Direct
0.000 0.854 0.500
0.500 0.146 0.000
0.500 0.570 0.500
0.000 0.430 0.000
0.000 0.680 0.000
0.500 0.320 0.500

=====

(7)
PBE-GGA NbV3Ni, relaxed; formation energy from the elements = 0.86 eV/atom; final energy = -7.79 eV/atom; space group = No. 221
1.0
-2.896 -3.209 -0.353
0.541 -0.015 -4.303
3.182 -2.918 0.410
V Nb Ni
3 1 1
Direct
0.000 0.500 0.000
0.500 0.000 0.000
0.000 0.000 0.500
0.500 0.500 0.500
0.000 0.000 0.000

=====

(8)
PBE-GGA Co2SnBiSe, relaxed; formation energy without anion corrections = 1111 meV/atom; final energy = -4.01 eV/atom; space group = No. 123
1.0
-0.734 -1.455 -4.515
5.838 -0.281 -0.858
-0.003 -4.569 1.473
Co Se Bi Sn
2 1 1 1
Direct
0.500 0.000 0.000
0.000 0.000 0.500
0.500 0.500 0.500
0.000 0.500 0.000
0.000 0.000 0.000

=====

(9)
PBE-GGA Rb4Na2Br, relaxed; formation energy without anion corrections = -407 meV/atom; final energy = -1.58 eV/atom; space group = No. 139
1.0
6.718 0.000 0.000
0.000 6.718 0.000
-3.359 -3.359 10.551
Na Br Rb
2 1 4
Direct
0.634 0.634 0.267
0.366 0.366 0.733
0.000 0.000 0.000
0.500 0.000 0.000
0.000 0.500 0.000
0.828 0.828 0.656
0.172 0.172 0.344

=====

(10)
PBE-GGA BaNa2Cl2, relaxed; formation energy without anion corrections = -1199 meV/atom; final energy = -2.85 eV/atom; space group = No. 139
1.0
4.190 0.000 0.000
0.000 4.190 0.000
2.095 2.095 9.457
Cl Na Ba
2 2 1
Direct
0.585 0.585 0.830
0.415 0.415 0.170
0.750 0.250 0.500
0.250 0.750 0.500
0.000 0.000 0.000

=====

(11)
PBE-GGA ScGaCu2Ag, relaxed; formation energy from the elements = 0.42 eV/atom; final energy = -3.66 eV/atom; space group = No. 123
1.0
4.509 0.000 0.000
0.000 4.509 0.000
0.000 0.000 5.065
Ag Ga Sc Cu
1 1 1 2
Direct
0.500 0.500 0.500
0.000 0.000 0.000
0.000 0.000 0.500
0.500 0.000 0.000
0.000 0.500 0.000

=====

(12)
PBE-GGA KNiCl2, relaxed; formation energy without anion corrections = -36 meV/atom; final energy = -2.68 eV/atom; space group = No. 216
1.0
5.078 0.000 0.000
2.539 4.398 0.000
2.539 1.466 4.146
Cl K Ni
2 1 1
Direct
0.000 0.000 0.000
0.250 0.250 0.250
0.500 0.500 0.500
0.750 0.750 0.750

=====

(13)
PBE-GGA Ac2ZnCd4In3, relaxed; formation energy from the elements = -0.30 eV/atom; final energy = -2.44 eV/atom; space group = No. 115
1.0
4.757 0.000 0.000
0.000 4.757 0.000
0.000 0.000 11.917
In Cd Ac Zn
3 4 2 1
Direct
0.500 0.000 0.860
0.000 0.000 0.500
0.000 0.500 0.140
0.000 0.500 0.372
0.500 0.500 0.000
0.000 0.000 0.000
0.500 0.000 0.628
0.500 0.000 0.255
0.000 0.500 0.745
0.500 0.500 0.500

=====

(14)
PBE-GGA ThNiH3, relaxed; final energy = -5.10 eV/atom; space group = No. 62
1.0
4.577 0.000 0.000
0.000 6.372 0.000
0.000 0.000 7.585
H Th Ni
12 4 4
Direct
0.533 0.919 0.852
0.033 0.581 0.352
0.033 0.081 0.148
0.250 0.402 0.966
0.750 0.598 0.034
0.750 0.098 0.466
0.467 0.081 0.148
0.967 0.419 0.648
0.967 0.919 0.852
0.250 0.902 0.534
0.467 0.581 0.352
0.533 0.419 0.648
0.250 0.747 0.088
0.250 0.247 0.412
0.750 0.253 0.912
0.750 0.753 0.588
0.750 0.526 0.238
0.750 0.026 0.262
0.250 0.974 0.738
0.250 0.474 0.762